## 1
PmAlGe | GGA-PBE | optimized geometry

Structure (CIF):
```
data_PmAlGe
_chemical_formula_sum 'Pm1 Al1 Ge1'
_symmetry_space_group_name_H-M 'P 1'
_symmetry_Int_Tables_number 1
_cell_length_a 4.158
_cell_length_b 4.280
_cell_length_c 4.280
_cell_angle_alpha 120.00
_cell_angle_beta 90.00
_cell_angle_gamma 90.00
loop_
_symmetry_equiv_pos_as_xyz
'x,y,z'
loop_
_atom_site_label
_atom_site_type_symbol
_atom_site_fract_x
_atom_site_fract_y
_atom_site_fract_z
_atom_site_occupancy
Ge1 Ge 0.166 0.000 0.000 1
Al1 Al 0.167 0.333 0.667 1
Pm1 Pm 0.667 0.667 0.333 1
```



## 2
PmAlGe | GGA-PBE | optimized geometry

Structure (CIF):
```
data_PmAlGe
_chemical_formula_sum 'Pm4 Al4 Ge4'
_symmetry_space_group_name_H-M 'P 1'
_symmetry_Int_Tables_number 1
_cell_length_a 4.126
_cell_length_b 5.898
_cell_length_c 10.709
_cell_angle_alpha 90.00
_cell_angle_beta 90.00
_cell_angle_gamma 90.00
loop_
_symmetry_equiv_pos_as_xyz
'x,y,z'
loop_
_atom_site_label
_atom_site_type_symbol
_atom_site_fract_x
_atom_site_fract_y
_atom_site_fract_z
_atom_site_occupancy
Al1 Al 0.500 0.250 0.750 1
Al2 Al 0.000 0.250 0.250 1
Al3 Al 0.500 0.750 0.750 1
Al4 Al 0.000 0.750 0.250 1
Pm1 Pm 0.500 0.000 0.060 1
Pm2 Pm 0.000 0.500 0.940 1
Pm3 Pm 0.500 0.500 0.440 1
Pm4 Pm 0.000 0.000 0.560 1
Ge1 Ge 0.000 0.000 0.852 1
Ge2 Ge 0.500 0.500 0.148 1
Ge3 Ge 0.000 0.500 0.648 1
Ge4 Ge 0.500 0.000 0.352 1
```



Bottom line: 1, by a margin of 1.9 kJ/mol of atoms.



## 1
Pm2AlGe3 | GGA-PBE | optimized geometry

Structure (CIF):
```
data_Pm2AlGe3
_chemical_formula_sum 'Pm2 Al1 Ge3'
_symmetry_space_group_name_H-M 'P 1'
_symmetry_Int_Tables_number 1
_cell_length_a 4.464
_cell_length_b 6.135
_cell_length_c 6.532
_cell_angle_alpha 118.01
_cell_angle_beta 109.98
_cell_angle_gamma 90.00
loop_
_symmetry_equiv_pos_as_xyz
'x,y,z'
loop_
_atom_site_label
_atom_site_type_symbol
_atom_site_fract_x
_atom_site_fract_y
_atom_site_fract_z
_atom_site_occupancy
Pm1 Pm 0.691 0.191 0.382 1
Pm2 Pm 0.309 0.809 0.618 1
Al1 Al 0.000 0.500 0.000 1
Ge1 Ge 0.372 0.372 0.745 1
Ge2 Ge 0.000 0.000 0.000 1
Ge3 Ge 0.628 0.628 0.255 1
```



## 2
Pm2AlGe3 | GGA-PBE | optimized geometry

Structure (CIF):
```
data_Pm2AlGe3
_chemical_formula_sum 'Pm8 Al4 Ge12'
_symmetry_space_group_name_H-M 'P 1'
_symmetry_Int_Tables_number 1
_cell_length_a 4.312
_cell_length_b 6.916
_cell_length_c 18.103
_cell_angle_alpha 90.00
_cell_angle_beta 90.00
_cell_angle_gamma 90.00
loop_
_symmetry_equiv_pos_as_xyz
'x,y,z'
loop_
_atom_site_label
_atom_site_type_symbol
_atom_site_fract_x
_atom_site_fract_y
_atom_site_fract_z
_atom_site_occupancy
Pm1 Pm 0.250 0.669 0.584 1
Pm2 Pm 0.750 0.831 0.084 1
Pm3 Pm 0.250 0.169 0.916 1
Pm4 Pm 0.750 0.331 0.416 1
Pm5 Pm 0.250 0.669 0.796 1
Pm6 Pm 0.750 0.831 0.296 1
Pm7 Pm 0.250 0.169 0.704 1
Pm8 Pm 0.750 0.331 0.204 1
Al1 Al 0.250 0.954 0.435 1
Al2 Al 0.750 0.546 0.935 1
Al3 Al 0.250 0.454 0.065 1
Al4 Al 0.750 0.046 0.565 1
Ge1 Ge 0.250 0.740 0.965 1
Ge2 Ge 0.750 0.760 0.465 1
Ge3 Ge 0.250 0.240 0.535 1
Ge4 Ge 0.750 0.260 0.035 1
Ge5 Ge 0.250 0.030 0.176 1
Ge6 Ge 0.750 0.470 0.676 1
Ge7 Ge 0.250 0.530 0.324 1
Ge8 Ge 0.750 0.970 0.824 1
Ge9 Ge 0.250 0.646 0.188 1
Ge10 Ge 0.750 0.854 0.688 1
Ge11 Ge 0.250 0.146 0.312 1
Ge12 Ge 0.750 0.354 0.812 1
```



Bottom line: 2, by a margin of 26.9 kJ/mol of atoms.



## 1
TbPmAlGe | GGA-PBE | optimized geometry

Structure (CIF):
```
data_TbPmAlGe
_chemical_formula_sum 'Tb1 Pm1 Al1 Ge1'
_symmetry_space_group_name_H-M 'P 1'
_symmetry_Int_Tables_number 1
_cell_length_a 5.165
_cell_length_b 5.165
_cell_length_c 5.165
_cell_angle_alpha 60.00
_cell_angle_beta 60.00
_cell_angle_gamma 60.00
loop_
_symmetry_equiv_pos_as_xyz
'x,y,z'
loop_
_atom_site_label
_atom_site_type_symbol
_atom_site_fract_x
_atom_site_fract_y
_atom_site_fract_z
_atom_site_occupancy
Ge1 Ge 0.250 0.250 0.250 1
Tb1 Tb 0.000 0.000 0.000 1
Al1 Al 0.750 0.750 0.750 1
Pm1 Pm 0.500 0.500 0.500 1
```



## 2
TbPmAlGe | GGA-PBE | optimized geometry

Structure (CIF):
```
data_TbPmAlGe
_chemical_formula_sum 'Tb1 Pm1 Al1 Ge1'
_symmetry_space_group_name_H-M 'P 1'
_symmetry_Int_Tables_number 1
_cell_length_a 4.426
_cell_length_b 4.068
_cell_length_c 5.983
_cell_angle_alpha 90.00
_cell_angle_beta 111.70
_cell_angle_gamma 90.00
loop_
_symmetry_equiv_pos_as_xyz
'x,y,z'
loop_
_atom_site_label
_atom_site_type_symbol
_atom_site_fract_x
_atom_site_fract_y
_atom_site_fract_z
_atom_site_occupancy
Tb1 Tb 0.139 0.000 0.278 1
Pm1 Pm 0.857 0.500 0.713 1
Al1 Al 0.428 0.000 0.856 1
Ge1 Ge 0.576 0.500 0.153 1
```



Bottom line: 2, by a margin of 22.6 kJ/mol of atoms.



## 1
PmThAlGe | GGA-PBE | optimized geometry

Structure (CIF):
```
data_PmThAlGe
_chemical_formula_sum 'Pm1 Th1 Al1 Ge1'
_symmetry_space_group_name_H-M 'P 1'
_symmetry_Int_Tables_number 1
_cell_length_a 4.478
_cell_length_b 4.107
_cell_length_c 6.071
_cell_angle_alpha 90.00
_cell_angle_beta 111.64
_cell_angle_gamma 90.00
loop_
_symmetry_equiv_pos_as_xyz
'x,y,z'
loop_
_atom_site_label
_atom_site_type_symbol
_atom_site_fract_x
_atom_site_fract_y
_atom_site_fract_z
_atom_site_occupancy
Pm1 Pm 0.142 0.000 0.285 1
Th1 Th 0.859 0.500 0.718 1
Al1 Al 0.575 0.500 0.150 1
Ge1 Ge 0.424 0.000 0.847 1
```



## 2
PmThAlGe | GGA-PBE | optimized geometry

Structure (CIF):
```
data_PmThAlGe
_chemical_formula_sum 'Pm1 Th1 Al1 Ge1'
_symmetry_space_group_name_H-M 'P 1'
_symmetry_Int_Tables_number 1
_cell_length_a 5.232
_cell_length_b 5.232
_cell_length_c 5.232
_cell_angle_alpha 60.00
_cell_angle_beta 60.00
_cell_angle_gamma 60.00
loop_
_symmetry_equiv_pos_as_xyz
'x,y,z'
loop_
_atom_site_label
_atom_site_type_symbol
_atom_site_fract_x
_atom_site_fract_y
_atom_site_fract_z
_atom_site_occupancy
Ge1 Ge 0.000 0.000 0.000 1
Al1 Al 0.500 0.500 0.500 1
Th1 Th 0.750 0.750 0.750 1
Pm1 Pm 0.250 0.250 0.250 1
```



Bottom line: 1, by a margin of 24.4 kJ/mol of atoms.



## 1
Pr3Al2Ge3 | GGA-PBE | optimized geometry

Structure (CIF):
```
data_Pr3Al2Ge3
_chemical_formula_sum 'Pr6 Al4 Ge6'
_symmetry_space_group_name_H-M 'P 1'
_symmetry_Int_Tables_number 1
_cell_length_a 4.281
_cell_length_b 6.180
_cell_length_c 15.004
_cell_angle_alpha 90.00
_cell_angle_beta 90.00
_cell_angle_gamma 110.27
loop_
_symmetry_equiv_pos_as_xyz
'x,y,z'
loop_
_atom_site_label
_atom_site_type_symbol
_atom_site_fract_x
_atom_site_fract_y
_atom_site_fract_z
_atom_site_occupancy
Pr1 Pr 0.937 0.875 0.388 1
Pr2 Pr 0.063 0.125 0.888 1
Pr3 Pr 0.937 0.875 0.112 1
Pr4 Pr 0.063 0.125 0.612 1
Pr5 Pr 0.645 0.289 0.250 1
Pr6 Pr 0.355 0.711 0.750 1
Al1 Al 0.775 0.550 0.898 1
Al2 Al 0.225 0.450 0.398 1
Al3 Al 0.775 0.550 0.602 1
Al4 Al 0.225 0.450 0.102 1
Ge1 Ge 0.625 0.250 0.458 1
Ge2 Ge 0.375 0.750 0.958 1
Ge3 Ge 0.625 0.250 0.042 1
Ge4 Ge 0.375 0.750 0.542 1
Ge5 Ge 0.358 0.717 0.250 1
Ge6 Ge 0.642 0.283 0.750 1
```



## 2
Pr3Al2Ge3 | GGA-PBE | optimized geometry

Structure (CIF):
```
data_Pr3Al2Ge3
_chemical_formula_sum 'Pr6 Al4 Ge6'
_symmetry_space_group_name_H-M 'P 1'
_symmetry_Int_Tables_number 1
_cell_length_a 4.299
_cell_length_b 6.082
_cell_length_c 15.734
_cell_angle_alpha 90.00
_cell_angle_beta 90.00
_cell_angle_gamma 110.70
loop_
_symmetry_equiv_pos_as_xyz
'x,y,z'
loop_
_atom_site_label
_atom_site_type_symbol
_atom_site_fract_x
_atom_site_fract_y
_atom_site_fract_z
_atom_site_occupancy
Pr1 Pr 0.857 0.715 0.406 1
Pr2 Pr 0.143 0.285 0.906 1
Pr3 Pr 0.857 0.715 0.094 1
Pr4 Pr 0.143 0.285 0.594 1
Pr5 Pr 0.559 0.117 0.250 1
Pr6 Pr 0.441 0.883 0.750 1
Al1 Al 0.857 0.714 0.877 1
Al2 Al 0.143 0.286 0.377 1
Al3 Al 0.857 0.714 0.623 1
Al4 Al 0.143 0.286 0.123 1
Ge1 Ge 0.583 0.166 0.447 1
Ge2 Ge 0.417 0.834 0.947 1
Ge3 Ge 0.583 0.166 0.053 1
Ge4 Ge 0.417 0.834 0.553 1
Ge5 Ge 0.287 0.573 0.250 1
Ge6 Ge 0.713 0.427 0.750 1
```



Bottom line: 1, by a margin of 2.5 kJ/mol of atoms.



## 1
Pr2AlGe3 | GGA-PBE | optimized geometry

Structure (CIF):
```
data_Pr2AlGe3
_chemical_formula_sum 'Pr4 Al2 Ge6'
_symmetry_space_group_name_H-M 'P 1'
_symmetry_Int_Tables_number 1
_cell_length_a 5.982
_cell_length_b 5.982
_cell_length_c 8.869
_cell_angle_alpha 109.28
_cell_angle_beta 109.28
_cell_angle_gamma 91.21
loop_
_symmetry_equiv_pos_as_xyz
'x,y,z'
loop_
_atom_site_label
_atom_site_type_symbol
_atom_site_fract_x
_atom_site_fract_y
_atom_site_fract_z
_atom_site_occupancy
Pr1 Pr 0.250 0.750 0.500 1
Pr2 Pr 0.756 0.756 0.000 1
Pr3 Pr 0.750 0.250 0.500 1
Pr4 Pr 0.244 0.244 0.000 1
Al1 Al 0.335 0.335 0.670 1
Al2 Al 0.665 0.665 0.330 1
Ge1 Ge 0.665 0.168 0.833 1
Ge2 Ge 0.832 0.335 0.167 1
Ge3 Ge 0.335 0.832 0.167 1
Ge4 Ge 0.168 0.665 0.833 1
Ge5 Ge 0.825 0.825 0.650 1
Ge6 Ge 0.175 0.175 0.350 1
```



## 2
Pr2AlGe3 | GGA-PBE | optimized geometry

Structure (CIF):
```
data_Pr2AlGe3
_chemical_formula_sum 'Pr2 Al1 Ge3'
_symmetry_space_group_name_H-M 'P 1'
_symmetry_Int_Tables_number 1
_cell_length_a 4.191
_cell_length_b 4.305
_cell_length_c 7.744
_cell_angle_alpha 90.00
_cell_angle_beta 90.00
_cell_angle_gamma 90.00
loop_
_symmetry_equiv_pos_as_xyz
'x,y,z'
loop_
_atom_site_label
_atom_site_type_symbol
_atom_site_fract_x
_atom_site_fract_y
_atom_site_fract_z
_atom_site_occupancy
Pr1 Pr 0.000 0.500 0.996 1
Pr2 Pr 0.000 0.000 0.506 1
Al1 Al 0.500 0.500 0.333 1
Ge1 Ge 0.500 0.000 0.835 1
Ge2 Ge 0.500 0.000 0.174 1
Ge3 Ge 0.500 0.500 0.657 1
```



Bottom line: 2, by a margin of 1.3 kJ/mol of atoms.